1.
Material: HfGe2Ru
Method: DFT, GGA-PBE
State: relaxed

Values from the calculation:
- Total DFT energy (no corrections): -7.685 eV per atom
- E_form: -54.9 kJ per mole of atoms
- M_tot: 0.00 μB/f.u.

Cell lengths 9.2872, 10.4684, 8.1111 Å; angles 90.00, 90.00, 90.00 degrees
Atoms (fractional coordinates):
Hf 0.1633 0.1797 0.0000
Hf 0.1751 0.4492 0.2398
Hf 0.1751 0.4492 0.7602
Hf 0.3249 0.9492 0.2398
Hf 0.3249 0.9492 0.7602
Hf 0.3367 0.6797 0.0000
Hf 0.6633 0.3203 0.0000
Hf 0.6751 0.0508 0.2398
Hf 0.6751 0.0508 0.7602
Hf 0.8249 0.5508 0.2398
Hf 0.8249 0.5508 0.7602
Hf 0.8367 0.8203 0.0000
Ge 0.0346 0.6146 0.5000
Ge 0.0403 0.6143 0.0000
Ge 0.1328 0.8966 0.0000
Ge 0.1343 0.9023 0.5000
Ge 0.1590 0.1800 0.3469
Ge 0.1590 0.1800 0.6531
Ge 0.3410 0.6800 0.3469
Ge 0.3410 0.6800 0.6531
Ge 0.3657 0.4023 0.5000
Ge 0.3672 0.3966 0.0000
Ge 0.4597 0.1143 0.0000
Ge 0.4654 0.1146 0.5000
Ge 0.5346 0.8854 0.5000
Ge 0.5403 0.8857 0.0000
Ge 0.6328 0.6034 0.0000
Ge 0.6343 0.5977 0.5000
Ge 0.6590 0.3200 0.3469
Ge 0.6590 0.3200 0.6531
Ge 0.8410 0.8200 0.3469
Ge 0.8410 0.8200 0.6531
Ge 0.8657 0.0977 0.5000
Ge 0.8672 0.1034 0.0000
Ge 0.9597 0.3857 0.0000
Ge 0.9654 0.3854 0.5000
Ru 0.0000 0.0000 0.2441
Ru 0.0000 0.0000 0.7559
Ru 0.0916 0.7398 0.2517
Ru 0.0916 0.7398 0.7483
Ru 0.4084 0.2398 0.2517
Ru 0.4084 0.2398 0.7483
Ru 0.5000 0.5000 0.2441
Ru 0.5000 0.5000 0.7559
Ru 0.5916 0.7602 0.2517
Ru 0.5916 0.7602 0.7483
Ru 0.9084 0.2602 0.2517
Ru 0.9084 0.2602 0.7483

=====

2.
Material: Hf3GeRu
Method: DFT, GGA-PBE
State: relaxed

Values from the calculation:
- Total DFT energy (no corrections): -8.015 eV per atom
- E_form: 70.9 kJ per mole of atoms
- Energy above the most stable polymorph in this dataset: 9.76 kcal/mol of atoms
- M_tot: 0.13 μB/f.u.

Cell lengths 4.8694, 4.8694, 4.8694 Å; angles 90.00, 90.00, 90.00 degrees
Atoms (fractional coordinates):
Hf 0.0000 0.0000 0.5000
Hf 0.0000 0.5000 0.0000
Hf 0.5000 0.0000 0.0000
Ge 0.0000 0.0000 0.0000
Ru 0.5000 0.5000 0.5000

=====

3.
Material: Hf2Ge4Ru
Method: DFT, GGA-PBE
State: relaxed

Values from the calculation:
- Total DFT energy (no corrections): -6.623 eV per atom
- E_form: 17.8 kJ per mole of atoms
- M_tot: 0.00 μB/f.u.

Cell lengths 4.7957, 4.7957, 13.1354 Å; angles 90.00, 90.00, 90.00 degrees
Atoms (fractional coordinates):
Hf 0.0000 0.0000 0.1097
Hf 0.0000 0.0000 0.8903
Hf 0.5000 0.5000 0.3903
Hf 0.5000 0.5000 0.6097
Ge 0.0000 0.0000 0.3122
Ge 0.0000 0.0000 0.6878
Ge 0.0000 0.5000 0.0000
Ge 0.0000 0.5000 0.5000
Ge 0.5000 0.0000 0.0000
Ge 0.5000 0.0000 0.5000
Ge 0.5000 0.5000 0.1878
Ge 0.5000 0.5000 0.8122
Ru 0.0000 0.0000 0.5000
Ru 0.5000 0.5000 0.0000

=====

4.
Material: Hf3GeRu
Method: DFT, GGA-PBE
State: relaxed

Values from the calculation:
- Total DFT energy (no corrections): -8.439 eV per atom
- E_form: 30.1 kJ per mole of atoms
- Energy above the most stable polymorph in this dataset: 0.00 kcal/mol of atoms
- M_tot: 0.00 μB/f.u.

Cell lengths 5.0185, 5.0185, 5.0185 Å; angles 90.00, 90.00, 90.00 degrees
Atoms (fractional coordinates):
Hf 0.0000 0.0000 0.5000
Hf 0.0000 0.5000 0.0000
Hf 0.5000 0.0000 0.0000
Ge 0.5000 0.5000 0.5000
Ru 0.0000 0.0000 0.0000

=====

5.
Material: HfGe2Ru
Method: DFT, GGA-PBE
State: relaxed

Values from the calculation:
- Total DFT energy (no corrections): -7.481 eV per atom
- E_form: -35.2 kJ per mole of atoms
- M_tot: 0.00 μB/f.u.

Cell lengths 4.1726, 4.1726, 13.3322 Å; angles 90.00, 90.00, 120.00 degrees
Atoms (fractional coordinates):
Hf 0.0000 0.0000 0.0000
Hf 0.3333 0.6667 0.6667
Hf 0.6667 0.3333 0.3333
Ge 0.0000 0.0000 0.2277
Ge 0.0000 0.0000 0.7723
Ge 0.3333 0.6667 0.4390
Ge 0.3333 0.6667 0.8943
Ge 0.6667 0.3333 0.1057
Ge 0.6667 0.3333 0.5610
Ru 0.0000 0.0000 0.5000
Ru 0.3333 0.6667 0.1667
Ru 0.6667 0.3333 0.8333

=====

6.
Material: HfGeRu
Method: DFT, GGA-PBE
State: relaxed

Values from the calculation:
- Total DFT energy (no corrections): -8.706 eV per atom
- E_form: -73.1 kJ per mole of atoms
- M_tot: 0.00 μB/f.u.

Cell lengths 6.7513, 6.7513, 3.7566 Å; angles 90.00, 90.00, 120.00 degrees
Atoms (fractional coordinates):
Hf 0.0000 0.4165 0.0000
Hf 0.4165 0.0000 0.0000
Hf 0.5835 0.5835 0.0000
Ge 0.0000 0.0000 0.0000
Ge 0.3333 0.6667 0.5000
Ge 0.6667 0.3333 0.5000
Ru 0.0000 0.7541 0.5000
Ru 0.2459 0.2459 0.5000
Ru 0.7541 0.0000 0.5000